1.
# GGA-PBEsol Zr3O, relaxed
data_Zr3O
_cell_length_a 5.5943
_cell_length_b 5.5943
_cell_length_c 15.4503
_cell_angle_alpha 90.00
_cell_angle_beta 90.00
_cell_angle_gamma 120.00
_space_group_name_H-M_alt 'R -3 c'
_space_group_IT_number 167
_space_group_name_Hall '-R 3 2"c'
loop_
_atom_site_label
_atom_site_type_symbol
_atom_site_fract_x
_atom_site_fract_y
_atom_site_fract_z
Zr1 Zr 0.0000 0.3409 0.2500
O1 O 0.0000 0.0000 0.0000
# **Magnetic moment**: 0.00 μB per atom

=====

2.
# GGA-PBEsol Zr2O, relaxed
data_Zr2O
_cell_length_a 5.5988
_cell_length_b 5.5988
_cell_length_c 10.3508
_cell_angle_alpha 90.00
_cell_angle_beta 90.00
_cell_angle_gamma 120.00
_space_group_name_H-M_alt 'P 3 1 2'
_space_group_IT_number 149
loop_
_space_group_symop_operation_xyz
'x,y,z'
'-y,x-y,z'
'-x+y,-x,z'
'-y,-x,-z'
'-x+y,y,-z'
'x,x-y,-z'
loop_
_atom_site_label
_atom_site_type_symbol
_atom_site_fract_x
_atom_site_fract_y
_atom_site_fract_z
Zr1 Zr 0.9998 0.3334 0.3746
Zr2 Zr 0.0098 0.3342 0.8716
O1 O 0.0000 0.0000 0.0000
O2 O 0.0000 0.0000 0.5000
O3 O 0.3333 0.6667 0.0000
O4 O 0.3333 0.6667 0.2578
O5 O 0.6667 0.3333 0.5000
# **Magnetic moment**: 0.00 μB per atom

=====

3.
# GGA-PBEsol Zr3O, relaxed
data_Zr3O
_cell_length_a 5.5848
_cell_length_b 5.5848
_cell_length_c 5.1585
_cell_angle_alpha 90.00
_cell_angle_beta 90.00
_cell_angle_gamma 120.00
_space_group_name_H-M_alt 'P 63 2 2'
_space_group_IT_number 182
_space_group_name_Hall 'P 6c 2c'
loop_
_atom_site_label
_atom_site_type_symbol
_atom_site_fract_x
_atom_site_fract_y
_atom_site_fract_z
Zr1 Zr 0.0000 0.3392 0.0000
O1 O 0.3333 0.6667 0.2500
# **Magnetic moment**: 0.00 μB per atom

=====

4.
# GGA-PBEsol ZrO2, relaxed
data_ZrO2
_cell_length_a 5.067
_cell_length_b 5.067
_cell_length_c 5.067
_cell_angle_alpha 90.00
_cell_angle_beta 90.00
_cell_angle_gamma 90.00
_space_group_name_H-M_alt 'F m -3 m'
_space_group_IT_number 225
_space_group_name_Hall '-F 4 2 3'
loop_
_atom_site_label
_atom_site_type_symbol
_atom_site_fract_x
_atom_site_fract_y
_atom_site_fract_z
Zr1 Zr 0.000 0.000 0.000
O1 O 0.250 0.250 0.250
# **Magnetic moment**: 0.00 μB per atom

=====

5.
# GGA-PBEsol ZrO2, relaxed
data_ZrO2
_cell_length_a 5.257
_cell_length_b 5.055
_cell_length_c 5.072
_cell_angle_alpha 90.00
_cell_angle_beta 90.00
_cell_angle_gamma 90.00
_space_group_name_H-M_alt 'P c a 21'
_space_group_IT_number 29
loop_
_space_group_symop_operation_xyz
'x,y,z'
'-x,-y,z+1/2'
'-x+1/2,y,z+1/2'
'x+1/2,-y,z'
loop_
_atom_site_label
_atom_site_type_symbol
_atom_site_fract_x
_atom_site_fract_y
_atom_site_fract_z
Zr1 Zr 0.031 0.233 0.000
O1 O 0.133 0.430 0.361
O2 O 0.233 0.962 0.753
# **Magnetic moment**: 0.00 μB per atom

=====

6.
# GGA-PBEsol Zr3O, relaxed
data_Zr3O
_cell_length_a 5.5898
_cell_length_b 5.5898
_cell_length_c 30.9282
_cell_angle_alpha 90.00
_cell_angle_beta 90.00
_cell_angle_gamma 120.00
_space_group_name_H-M_alt 'R 3 2'
_space_group_IT_number 155
_space_group_name_Hall 'R 3 2"'
loop_
_atom_site_label
_atom_site_type_symbol
_atom_site_fract_x
_atom_site_fract_y
_atom_site_fract_z
Zr1 Zr 0.0000 0.3395 0.0000
Zr2 Zr 0.0000 0.3415 0.5000
Zr3 Zr 0.0012 0.6601 0.0836
O1 O 0.0000 0.0000 0.2085
O2 O 0.0000 0.0000 0.3748
# **Magnetic moment**: 0.00 μB per atom

=====

Total energy readings, ordered: -0.7049 -0.7121 -0.7045 -0.7331 -0.7353 -0.7048 Ry per atom